(1)
Entry from the Alexandria database: crystalline KTbAgF5 at its relaxed geometry (PBE). Values from VASP.

Raw total energy = -5.22 eV per atom
Total magnetization = 0.180 Bohr magnetons per cell
Calculated volume = 153.47 Å³/f.u.

Quantum ESPRESSO input file:
```
&SYSTEM
  ibrav = 0, nat = 16, ntyp = 4
/
ATOMIC_SPECIES
K 39.10 K.upf
Tb 158.93 Tb.upf
Ag 107.87 Ag.upf
F 19.00 F.upf
CELL_PARAMETERS angstrom
3.498 -5.501 0.000
3.498 5.501 0.000
-1.817 0.000 7.976
ATOMIC_POSITIONS angstrom
K 2.135 3.799 5.982
K 3.044 -3.799 1.994
Tb 3.498 0.000 0.000
Tb 2.589 0.000 3.988
Ag 3.044 3.644 1.994
Ag 2.135 -3.644 5.982
F -0.401 0.690 7.767
F 1.926 1.883 3.107
F 0.507 -0.690 3.779
F 2.135 0.905 5.982
F 4.161 1.883 0.881
F 1.018 -1.883 7.095
F 3.044 -0.905 1.994
F 4.671 0.690 4.196
F 3.252 -1.883 4.869
F 5.580 -0.690 0.209
```

(2)
Entry from the Alexandria database: crystalline KTbAg2F6 at its relaxed geometry (PBE). Values from VASP.

Raw total energy = -4.85 eV per atom
Total magnetization = 0.000 Bohr magnetons per cell
Calculated volume = 184.28 Å³/f.u.

Quantum ESPRESSO input file:
```
&SYSTEM
  ibrav = 0, nat = 10, ntyp = 4
/
ATOMIC_SPECIES
K 39.10 K.upf
Tb 158.93 Tb.upf
Ag 107.87 Ag.upf
F 19.00 F.upf
CELL_PARAMETERS angstrom
6.267 0.000 0.000
-3.131 5.438 0.000
-3.131 -1.803 5.408
ATOMIC_POSITIONS angstrom
K 0.000 0.000 0.000
Tb 3.137 1.819 2.596
Ag 0.005 0.008 4.518
Ag -0.003 3.632 1.855
F -1.437 1.871 1.150
F -2.260 0.086 3.648
F -2.056 3.437 3.643
F 2.332 0.325 1.156
F 2.236 3.262 1.161
F 1.212 1.933 3.663
```

(3)
Entry from the Alexandria database: crystalline KTb2AgF8 at its relaxed geometry (PBE). Values from VASP.

Raw total energy = -5.75 eV per atom
Total magnetization = 0.117 Bohr magnetons per cell
Calculated volume = 184.62 Å³/f.u.

Quantum ESPRESSO input file:
```
&SYSTEM
  ibrav = 0, nat = 12, ntyp = 4
/
ATOMIC_SPECIES
K 39.10 K.upf
Tb 158.93 Tb.upf
Ag 107.87 Ag.upf
F 19.00 F.upf
CELL_PARAMETERS angstrom
3.891 0.000 0.000
0.000 6.113 0.000
0.000 0.000 7.761
ATOMIC_POSITIONS angstrom
K 0.000 0.000 0.000
Tb 1.946 3.056 1.952
Tb 1.946 3.056 5.810
Ag 0.000 0.000 3.881
F 0.000 1.786 1.977
F 0.000 1.786 5.784
F 0.000 4.327 1.977
F 0.000 4.327 5.784
F 1.946 1.765 3.881
F 1.946 1.799 0.000
F 1.946 4.314 0.000
F 1.946 4.348 3.881
```

(4)
Entry from the Alexandria database: crystalline KTbAgF6 at its relaxed geometry (PBE). Values from VASP.

Raw total energy = -5.00 eV per atom
Total magnetization = 1.081 Bohr magnetons per cell
Calculated volume = 173.43 Å³/f.u.

Quantum ESPRESSO input file:
```
&SYSTEM
  ibrav = 0, nat = 9, ntyp = 4
/
ATOMIC_SPECIES
K 39.10 K.upf
Tb 158.93 Tb.upf
Ag 107.87 Ag.upf
F 19.00 F.upf
CELL_PARAMETERS angstrom
5.448 0.000 0.000
-0.086 5.977 0.000
-0.087 -2.716 5.326
ATOMIC_POSITIONS angstrom
K 0.000 0.000 0.000
Tb 2.636 3.097 1.764
Ag 2.634 0.140 3.577
F 1.337 3.763 0.206
F 1.549 1.110 1.982
F 1.533 4.203 3.380
F 3.736 2.158 0.044
F 3.719 2.003 3.440
F 3.929 4.793 1.873
```

Q: The lowest total magnetization belongs to which entry?
A: KTbAg2F6

Q: The highest raw total energy belongs to which entry?
A: KTbAg2F6

Q: Among the records above, which one has the lowest calculated volume?
A: KTbAgF5

Q: Look up the raw total energy of the fourth one.
A: -5.00 eV per atom